Record 1
{
  "formula": "CdAuN",
  "functional": "GGA-PBE",
  "state": "relaxed",
  "lattice_angstrom": [[-0.957, 2.162, -4.415], [-2.039, -1.243, 1.784], [7.051, 11.902, 7.591]],
  "species": ["Cd", "Cd", "Au", "Au", "N", "N"],
  "fractional_positions": [[0.399, 0.586, 0.707], [0.282, 0.373, 0.360], [0.709, 0.214, 0.600], [0.972, 0.746, 0.467], [0.984, 0.677, 0.067], [0.697, 0.283, 0.000]],
  "raw_formation_energy_ev_per_fu": 0.19,
  "volume_a3_per_cell": 158.41
}



Record 2
{
  "formula": "Er2ScTl2Ag2",
  "functional": "GGA-PBE",
  "state": "relaxed",
  "lattice_angstrom": [[-0.498, -4.847, -0.390], [1.631, -2.312, -3.987], [7.619, -3.417, 2.101]],
  "species": ["Sc", "Er", "Ag", "Tl", "Er", "Tl", "Ag"],
  "fractional_positions": [[0.000, 0.000, 0.000], [0.869, 0.869, 0.394], [0.431, 0.431, 0.707], [0.729, 0.729, 0.814], [0.131, 0.131, 0.606], [0.271, 0.271, 0.186], [0.569, 0.569, 0.293]],
  "ef_ev_per_atom": -0.07,
  "volume_a3_per_cell": 168.36
}



Record 3
{
  "formula": "KNi",
  "functional": "GGA-PBE",
  "state": "relaxed",
  "lattice_angstrom": [[4.269, 0.000, 0.000], [0.000, 9.551, 0.000], [0.000, 0.000, 9.939]],
  "species": ["K", "Ni", "Ni", "Ni", "K", "K", "K", "Ni", "Ni", "K", "Ni", "K"],
  "fractional_positions": [[0.000, 0.192, 0.000], [0.500, 0.028, 0.225], [0.500, 0.028, 0.775], [0.000, 0.026, 0.500], [0.000, 0.304, 0.323], [0.500, 0.696, 0.177], [0.500, 0.696, 0.823], [0.500, 0.974, 0.000], [0.000, 0.972, 0.725], [0.000, 0.304, 0.677], [0.000, 0.972, 0.275], [0.500, 0.808, 0.500]],
  "ef_ev_per_atom": 0.60,
  "e_above_lowest_polymorph_mev_per_atom": 84.5,
  "volume_a3_per_cell": 405.26
}



Record 4
{
  "formula": "NaLaBe2H8",
  "functional": "GGA-PBE",
  "state": "relaxed",
  "lattice_angstrom": [[-2.869, -2.502, -2.434], [-0.669, 0.531, 4.437], [-4.062, 5.945, -1.324]],
  "species": ["Be", "H", "Be", "H", "H", "H", "H", "H", "H", "La", "H", "Na"],
  "fractional_positions": [[0.333, 0.667, 0.780], [0.940, 0.660, 0.266], [0.667, 0.333, 0.220], [0.720, 0.060, 0.266], [0.060, 0.340, 0.734], [0.660, 0.720, 0.734], [0.280, 0.940, 0.734], [0.667, 0.333, 0.018], [0.340, 0.280, 0.266], [0.000, 0.000, 0.000], [0.333, 0.667, 0.982], [0.000, 0.000, 0.500]],
  "volume_a3_per_cell": 129.44,
  "e_tot_ev_per_atom": -3.6932
}



Record 5
{
  "formula": "Pu4Sc",
  "functional": "GGA-PBE",
  "state": "relaxed",
  "lattice_angstrom": [[5.381, 0.000, 0.000], [0.000, 5.381, 0.000], [0.000, 0.000, 5.381]],
  "species": ["Pu", "Sc", "Pu", "Pu", "Pu"],
  "fractional_positions": [[0.000, 0.000, 0.000], [0.500, 0.500, 0.500], [0.500, 0.000, 0.500], [0.500, 0.500, 0.000], [0.000, 0.500, 0.500]],
  "ef_ev_per_atom": 0.98,
  "volume_a3_per_cell": 155.82
}



Record 6
{
  "formula": "Nd5Sn2Ge",
  "functional": "GGA-PBE",
  "state": "relaxed",
  "lattice_angstrom": [[4.682, 0.000, 0.000], [0.000, 8.382, 0.000], [0.000, 0.000, 12.669]],
  "species": ["Sn", "Nd", "Nd", "Sn", "Ge", "Sn", "Nd", "Nd", "Nd", "Nd", "Ge", "Nd", "Nd", "Nd", "Nd", "Sn"],
  "fractional_positions": [[0.500, 0.078, 0.328], [0.500, 0.802, 0.931], [0.500, 0.698, 0.431], [0.500, 0.578, 0.172], [0.000, 0.000, 0.000], [0.500, 0.422, 0.828], [0.500, 0.198, 0.069], [0.000, 0.000, 0.500], [0.000, 0.147, 0.789], [0.000, 0.647, 0.711], [0.000, 0.500, 0.500], [0.500, 0.302, 0.569], [0.000, 0.853, 0.211], [0.000, 0.353, 0.289], [0.000, 0.500, 0.000], [0.500, 0.922, 0.672]],
  "ef_ev_per_atom": -0.69,
  "e_above_lowest_polymorph_mev_per_atom": 0.0,
  "volume_a3_per_cell": 497.20
}